Density functional theory data (PBE-GGA) for a geometry-optimized TbCeCuHg structure.

Cell lengths 5.192, 5.192, 5.192 Å; angles 60.00, 60.00, 60.00 degrees
Element x y z (fractional)
Tb (0.000, 0.000, 0.000)
Ce (0.500, 0.500, 0.500)
Cu (0.250, 0.250, 0.250)
Hg (0.750, 0.750, 0.750)

Results
space group: F-43m, No. 216
calculated volume: 24.742 Å³/atom
N(E_F): 2.3476 states/eV/atom
energy of formation from the pure elements: -0.199 eV/atom

---

Density functional theory data (PBE-GGA) for a geometry-optimized CeTmCuHg structure.

Cell lengths 5.150, 5.150, 5.150 Å; angles 60.00, 60.00, 60.00 degrees
Element x y z (fractional)
Ce (0.000, 0.000, 0.000)
Tm (0.500, 0.500, 0.500)
Cu (0.250, 0.250, 0.250)
Hg (0.750, 0.750, 0.750)

Results
space group: F-43m, No. 216
calculated volume: 24.153 Å³/atom
N(E_F): 1.9602 states/eV/atom
energy of formation from the pure elements: -0.211 eV/atom

---

Density functional theory data (PBE-GGA) for a geometry-optimized CeYCuHg structure.

Cell lengths 5.190, 5.190, 5.190 Å; angles 60.00, 60.00, 60.00 degrees
Element x y z (fractional)
Ce (0.000, 0.000, 0.000)
Y (0.500, 0.500, 0.500)
Cu (0.250, 0.250, 0.250)
Hg (0.750, 0.750, 0.750)

Results
space group: F-43m, No. 216
calculated volume: 24.715 Å³/atom
N(E_F): 2.2899 states/eV/atom
energy of formation from the pure elements: -0.206 eV/atom

---

Density functional theory data (PBE-GGA) for a geometry-optimized CeHo2Cu structure.

Cell lengths 10.115, 10.115, 10.115 Å; angles 19.95, 19.95, 19.95 degrees
Element x y z (fractional)
Ce (0.000, 0.000, 0.000)
Ho (0.236, 0.236, 0.236)
Ho (0.764, 0.764, 0.764)
Cu (0.500, 0.500, 0.500)

Results
space group: R-3m, No. 166
calculated volume: 26.355 Å³/atom
N(E_F): 1.8755 states/eV/atom
excess energy over the best structure of this formula in the dataset: 137 meV/atom
energy of formation from the pure elements: 0.070 eV/atom

---

Density functional theory data (PBE-GGA) for a geometry-optimized CeHo2Cu structure.

Cell lengths 3.472, 3.472, 8.477 Å; angles 90.00, 90.00, 90.00 degrees
Element x y z (fractional)
Ce (0.000, 0.000, 0.000)
Ho (0.500, 0.500, 0.301)
Ho (0.500, 0.500, 0.699)
Cu (0.000, 0.000, 0.500)

Results
space group: P4/mmm, No. 123
calculated volume: 25.546 Å³/atom
N(E_F): 1.6405 states/eV/atom
excess energy over the best structure of this formula in the dataset: 0 meV/atom
energy of formation from the pure elements: -0.068 eV/atom

---

Density functional theory data (PBE-GGA) for a geometry-optimized CeHo4Cu5 structure.

Cell lengths 3.434, 3.434, 17.646 Å; angles 90.00, 90.00, 90.00 degrees
Element x y z (fractional)
Ce (0.000, 0.000, 0.000)
Ho (0.000, 0.000, 0.204)
Ho (0.000, 0.000, 0.401)
Ho (0.000, 0.000, 0.599)
Ho (0.000, 0.000, 0.796)
Cu (0.500, 0.500, 0.109)
Cu (0.500, 0.500, 0.302)
Cu (0.500, 0.500, 0.500)
Cu (0.500, 0.500, 0.698)
Cu (0.500, 0.500, 0.891)

Results
space group: P4/mmm, No. 123
calculated volume: 20.807 Å³/atom
N(E_F): 0.8810 states/eV/atom
energy of formation from the pure elements: -0.216 eV/atom

---

Density functional theory data (PBE-GGA) for a geometry-optimized CeHoCu2 structure.

Cell lengths 3.428, 3.428, 7.216 Å; angles 90.00, 90.00, 90.00 degrees
Element x y z (fractional)
Ce (0.000, 0.000, 0.000)
Ho (0.000, 0.000, 0.500)
Cu (0.500, 0.500, 0.268)
Cu (0.500, 0.500, 0.732)

Results
space group: P4/mmm, No. 123
calculated volume: 21.196 Å³/atom
N(E_F): 1.5813 states/eV/atom
excess energy over the best structure of this formula in the dataset: 0 meV/atom
energy of formation from the pure elements: -0.140 eV/atom

---

Density functional theory data (PBE-GGA) for a geometry-optimized CeHoCu2 structure.

Cell lengths 4.941, 4.941, 4.941 Å; angles 60.00, 60.00, 60.00 degrees
Element x y z (fractional)
Ce (0.000, 0.000, 0.000)
Ho (0.500, 0.500, 0.500)
Cu (0.250, 0.250, 0.250)
Cu (0.750, 0.750, 0.750)

Results
space group: Fm-3m, No. 225
calculated volume: 21.330 Å³/atom
N(E_F): 1.4219 states/eV/atom
excess energy over the best structure of this formula in the dataset: 9 meV/atom
energy of formation from the pure elements: -0.131 eV/atom

---

Density functional theory data (PBE-GGA) for a geometry-optimized CeHo5Cu4 structure.

Cell lengths 3.435, 3.435, 19.075 Å; angles 90.00, 90.00, 90.00 degrees
Element x y z (fractional)
Ce (0.000, 0.000, 0.000)
Ho (0.500, 0.500, 0.136)
Ho (0.500, 0.500, 0.317)
Ho (0.500, 0.500, 0.500)
Ho (0.500, 0.500, 0.683)
Ho (0.500, 0.500, 0.864)
Cu (0.000, 0.000, 0.225)
Cu (0.000, 0.000, 0.409)
Cu (0.000, 0.000, 0.591)
Cu (0.000, 0.000, 0.775)

Results
space group: P4/mmm, No. 123
calculated volume: 22.508 Å³/atom
N(E_F): 0.8360 states/eV/atom
energy of formation from the pure elements: -0.194 eV/atom

---

Density functional theory data (PBE-GGA) for a geometry-optimized CeHoCu2 structure.

Cell lengths 4.056, 3.967, 10.662 Å; angles 90.00, 100.96, 90.00 degrees
Element x y z (fractional)
Ce (0.046, 0.250, 0.093)
Ce (0.954, 0.750, 0.907)
Ho (0.306, 0.750, 0.612)
Ho (0.694, 0.250, 0.388)
Cu (0.159, 0.750, 0.318)
Cu (0.419, 0.250, 0.838)
Cu (0.581, 0.750, 0.162)
Cu (0.841, 0.250, 0.682)

Results
space group: P2_1/m, No. 11
calculated volume: 21.053 Å³/atom
N(E_F): 1.5148 states/eV/atom
excess energy over the best structure of this formula in the dataset: 17 meV/atom
energy of formation from the pure elements: -0.123 eV/atom

---

Density functional theory data (PBE-GGA) for a geometry-optimized Ce2HoCu9 structure.

Cell lengths 8.956, 8.956, 8.956 Å; angles 33.24, 33.24, 33.24 degrees
Element x y z (fractional)
Ce (0.146, 0.146, 0.146)
Ce (0.854, 0.854, 0.854)
Ho (0.000, 0.000, 0.000)
Cu (0.084, 0.578, 0.578)
Cu (0.332, 0.332, 0.332)
Cu (0.422, 0.422, 0.916)
Cu (0.422, 0.916, 0.422)
Cu (0.500, 0.500, 0.500)
Cu (0.578, 0.084, 0.578)
Cu (0.578, 0.578, 0.084)
Cu (0.668, 0.668, 0.668)
Cu (0.916, 0.422, 0.422)

Results
space group: R-3m, No. 166
calculated volume: 16.010 Å³/atom
N(E_F): 1.1016 states/eV/atom
energy of formation from the pure elements: -0.143 eV/atom

---

Density functional theory data (PBE-GGA) for a geometry-optimized CeHoCu10 structure.

Cell lengths 4.111, 5.051, 8.703 Å; angles 90.00, 90.00, 90.00 degrees
Element x y z (fractional)
Ce (0.000, 0.000, 0.000)
Ho (0.000, 0.500, 0.500)
Cu (0.000, 0.000, 0.337)
Cu (0.000, 0.000, 0.663)
Cu (0.000, 0.500, 0.171)
Cu (0.000, 0.500, 0.829)
Cu (0.500, 0.000, 0.500)
Cu (0.500, 0.252, 0.254)
Cu (0.500, 0.252, 0.746)
Cu (0.500, 0.500, 0.000)
Cu (0.500, 0.748, 0.254)
Cu (0.500, 0.748, 0.746)

Results
space group: Pmmm, No. 47
calculated volume: 15.058 Å³/atom
N(E_F): 0.9862 states/eV/atom
energy of formation from the pure elements: -0.151 eV/atom